Computed, not measured: a geometry-optimized KFeCo2 structure at the GGA-PBE level of DFT.

Its calculated total energy is -39.709 eV for the cell shown. The formation enthalpy at 0 K comes out at 0.98 eV per atom. The value obtained for the magnetization is 1.54 μB per atom.

It has space group Immm (No. 71), with a = 2.644 Å, b = 5.349 Å, c = 9.750 Å, α = 90.00°, β = 90.00° and γ = 90.00°. Symmetry generates all atoms from K at (0.000, 0.000, 0.000), Fe at (0.000, 0.000, 0.500) and Co at (0.000, 0.500, 0.202).

---

Computed, not measured: a geometry-optimized Sr2ReRu structure at the GGA-PBE level of DFT.

Its calculated total energy is -82.855 eV for the cell shown. The formation enthalpy at 0 K comes out at 1.09 eV per atom. The value obtained for the magnetization is 0.00 μB per atom.

It has space group F-43m (No. 216), with a = 7.062 Å, b = 7.062 Å, c = 7.062 Å, α = 90.00°, β = 90.00° and γ = 90.00°. Symmetry generates all atoms from Sr at (0.000, 0.000, 0.000), Sr at (0.250, 0.250, 0.250), Re at (0.000, 0.000, 0.500) and Ru at (0.250, 0.250, 0.750).

---

Computed, not measured: a geometry-optimized BeNiIr2 structure at the GGA-PBE level of DFT.

Its calculated total energy is -55.921 eV for the cell shown. The formation enthalpy at 0 K comes out at -0.18 eV per atom. The value obtained for the magnetization is 0.00 μB per atom.

It has space group Imm2 (No. 44), with a = 2.807 Å, b = 4.094 Å, c = 8.297 Å, α = 90.00°, β = 90.00° and γ = 90.00°. Symmetry generates all atoms from Be at (0.000, 0.000, 0.000), Ni at (0.000, 0.500, 0.288), Ir at (0.000, 0.000, 0.510) and Ir at (0.000, 0.500, 0.733).

---

Computed, not measured: a geometry-optimized K4NiMo structure at the GGA-PBE level of DFT.

Its calculated total energy is -50.014 eV for the cell shown. The formation enthalpy at 0 K comes out at 1.42 eV per atom. The value obtained for the magnetization is 0.93 μB per atom.

It has space group F-43m (No. 216), with a = 9.941 Å, b = 9.941 Å, c = 9.941 Å, α = 90.00°, β = 90.00° and γ = 90.00°. Symmetry generates all atoms from K at (0.125, 0.125, 0.125), Ni at (0.000, 0.000, 0.500) and Mo at (0.250, 0.250, 0.750).

---

Computed, not measured: a geometry-optimized AlSbH structure at the GGA-PBE level of DFT.

Its calculated total energy is -44.278 eV for the cell shown. The value obtained for the magnetization is 0.00 μB per atom.

It has space group P2_1/c (No. 14), with a = 6.498 Å, b = 6.817 Å, c = 7.769 Å, α = 90.00°, β = 121.44° and γ = 90.00°. Symmetry generates all atoms from Al at (0.002, 0.105, 0.358), Sb at (0.226, 0.052, 0.009) and H at (0.180, 0.574, 0.036).

---

Computed, not measured: a geometry-optimized Mg2Mn3CrS8 structure at the GGA-PBE level of DFT.

Its calculated total energy is -252.996 eV for the cell shown. The uncorrected formation energy is -0.785 eV/atom. The value obtained for the magnetization is 1.07 μB per atom.

It has space group R-3m (No. 166, hexagonal axes), with a = 7.2565 Å, b = 7.2565 Å, c = 17.8682 Å, α = 90.00°, β = 90.00° and γ = 120.00°. Symmetry generates all atoms from Mg at (0.0000, 0.0000, 0.1272), Mn at (0.0000, 0.5000, 0.0000), Cr at (0.0000, 0.0000, 0.5000), S at (0.0000, 0.0000, 0.2635) and S at (0.0336, 0.5168, 0.2519).

---

Computed, not measured: a geometry-optimized CsSr3Ca structure at the GGA-PBE level of DFT.

Its calculated total energy is -5.723 eV for the cell shown. The formation enthalpy at 0 K comes out at 0.44 eV per atom. The value obtained for the magnetization is 0.18 μB per atom.

It has space group Pm-3m (No. 221), with a = 7.225 Å, b = 7.225 Å, c = 7.225 Å, α = 90.00°, β = 90.00° and γ = 90.00°. Symmetry generates all atoms from Cs at (0.000, 0.000, 0.000), Sr at (0.000, 0.500, 0.500) and Ca at (0.500, 0.500, 0.500).

---

Computed, not measured: a geometry-optimized NdHoAlIn structure at the GGA-PBE level of DFT.

Its calculated total energy is -69.771 eV for the cell shown. The formation enthalpy at 0 K comes out at -0.40 eV per atom. The value obtained for the magnetization is 0.00 μB per atom.

It has space group F-43m (No. 216), with a = 7.480 Å, b = 7.480 Å, c = 7.480 Å, α = 90.00°, β = 90.00° and γ = 90.00°. Symmetry generates all atoms from Nd at (0.000, 0.000, 0.000), Ho at (0.000, 0.000, 0.500), Al at (0.250, 0.250, 0.250) and In at (0.250, 0.250, 0.750).

---

Computed, not measured: a geometry-optimized CrPtW2 structure at the GGA-PBE level of DFT.

Its calculated total energy is -41.231 eV for the cell shown. The formation enthalpy at 0 K comes out at 0.08 eV per atom. The value obtained for the magnetization is 0.17 μB per atom.

It has space group Pmmm (No. 47), with a = 2.707 Å, b = 3.972 Å, c = 5.576 Å, α = 90.00°, β = 90.00° and γ = 90.00°. Symmetry generates all atoms from Cr at (0.000, 0.000, 0.000), Pt at (0.000, 0.000, 0.500) and W at (0.500, 0.500, 0.239).

---

Computed, not measured: a geometry-optimized Pm6Co2Hg structure at the GGA-PBE level of DFT.

Its calculated total energy is -178.667 eV for the cell shown. The formation enthalpy at 0 K comes out at -0.18 eV per atom. The value obtained for the magnetization is 0.00 μB per atom.

It has space group Immm (No. 71), with a = 9.507 Å, b = 10.009 Å, c = 10.143 Å, α = 90.00°, β = 90.00° and γ = 90.00°. Symmetry generates all atoms from Pm at (0.000, 0.203, 0.233), Pm at (0.187, 0.500, 0.175), Pm at (0.215, 0.319, 0.500), Co at (0.000, 0.343, 0.000), Co at (0.000, 0.500, 0.388), Hg at (0.000, 0.000, 0.000) and Hg at (0.000, 0.000, 0.500).

---

Computed, not measured: a geometry-optimized Ba2NaPIr structure at the GGA-PBE level of DFT.

Its calculated total energy is -21.348 eV for the cell shown. The formation enthalpy at 0 K comes out at -0.38 eV per atom. The value obtained for the magnetization is 0.00 μB per atom.

It has space group P4/mmm (No. 123), with a = 6.315 Å, b = 6.315 Å, c = 4.401 Å, α = 90.00°, β = 90.00° and γ = 90.00°. Symmetry generates all atoms from Ba at (0.000, 0.500, 0.000), Na at (0.000, 0.000, 0.500), P at (0.500, 0.500, 0.000) and Ir at (0.500, 0.500, 0.500).

---

Computed, not measured: a geometry-optimized TaSbPb2 structure at the GGA-PBE level of DFT.

Its calculated total energy is -20.868 eV for the cell shown. The uncorrected formation energy is 0.631 eV/atom. The value obtained for the magnetization is 0.00 μB per atom.

It has space group Pmmm (No. 47), with a = 3.712 Å, b = 5.113 Å, c = 5.265 Å, α = 90.00°, β = 90.00° and γ = 90.00°. Symmetry generates all atoms from Ta at (0.000, 0.000, 0.000), Sb at (0.500, 0.500, 0.000), Pb at (0.000, 0.500, 0.500) and Pb at (0.500, 0.000, 0.500).